Record 1
Density functional theory data (GGA-PBE) for a geometry-optimized NdPa2Os structure.

Lattice parameters (Å, degrees): 3.6145 3.6145 7.7613 90.00 90.00 90.00
Last column: nearest neighbours and their distance in Å.
Space group P4/mmm (No. 123)
Inequivalent atoms, fractional coordinates:
Nd  0.0000  0.0000  0.0000 (multiplicity 1)  8 Pa 3.53, 4 Nd 3.61, 2 Os 3.88
Pa  0.5000  0.5000  0.3136 (multiplicity 2)  1 Pa 2.89, 4 Os 2.94
Os  0.0000  0.0000  0.5000 (multiplicity 1)  8 Pa 2.94

Calculated values
The density is 13.04 g/cm³. The formation energy comes out at 0.0122 eV/atom. The calculation puts the total energy at -8.74 eV/atom. The value obtained for the energy above the most stable polymorph in this dataset is 0.0 meV/atom. Its spin magnetization is 0.0 μB per cell.

Record 2
Density functional theory data (GGA-PBE) for a geometry-optimized NdPaOsPd structure.

Lattice parameters (Å, degrees): 7.0259 7.0259 7.0259 90.00 90.00 90.00
Last column: nearest neighbours and their distance in Å.
Space group F-43m (No. 216)
Inequivalent atoms, fractional coordinates:
Nd  0.0000  0.0000  0.0000 (multiplicity 4)  4 Os 3.04, 4 Pd 3.04
Pa  0.0000  0.0000  0.5000 (multiplicity 4)  4 Pd 3.04, 4 Os 3.04
Os  0.2500  0.2500  0.7500 (multiplicity 4)  4 Pa 3.04, 4 Nd 3.04
Pd  0.2500  0.2500  0.2500 (multiplicity 4)  4 Nd 3.04, 4 Pa 3.04

Calculated values
The density is 12.87 g/cm³. The formation energy comes out at -0.2670 eV/atom. The calculation puts the total energy at -7.94 eV/atom. Its spin magnetization is 0.0 μB per cell.

Record 3
Density functional theory data (GGA-PBE) for a geometry-optimized NdPaTcOs structure.

Lattice parameters (Å, degrees): 6.9730 6.9730 6.9730 90.00 90.00 90.00
Last column: nearest neighbours and their distance in Å.
Space group F-43m (No. 216)
Inequivalent atoms, fractional coordinates:
Nd  0.0000  0.0000  0.0000 (multiplicity 4)  4 Tc 3.02, 4 Os 3.02
Pa  0.0000  0.0000  0.5000 (multiplicity 4)  4 Os 3.02, 4 Tc 3.02
Tc  0.2500  0.2500  0.7500 (multiplicity 4)  4 Pa 3.02, 4 Nd 3.02
Os  0.2500  0.2500  0.2500 (multiplicity 4)  4 Pa 3.02, 4 Nd 3.02

Calculated values
The density is 13.00 g/cm³. The formation energy comes out at 0.0091 eV/atom. The calculation puts the total energy at -8.96 eV/atom. Its spin magnetization is 0.0 μB per cell.

Record 4
Density functional theory data (GGA-PBE) for a geometry-optimized Nd8OsPb2 structure.

Lattice parameters (Å, degrees): 19.9016 5.2211 6.9812 90.00 107.79 90.00
Last column: nearest neighbours and their distance in Å.
Space group C2/m (No. 12)
Inequivalent atoms, fractional coordinates:
Nd  0.0141  0.0000  0.2876 (multiplicity 4)  2 Os 3.06, 3 Nd 3.18-3.41, 1 Pb 3.36
Nd  0.0880  0.5000  0.9495 (multiplicity 4)  1 Os 3.09, 2 Nd 3.41, 2 Pb 3.46
Nd  0.1442  0.5000  0.4916 (multiplicity 4)  1 Os 2.89
Nd  0.2163  0.0000  0.8176 (multiplicity 4)  3 Pb 3.29-3.46, 4 Nd 3.47-3.61
Os  0.0000  0.5000  0.5000 (multiplicity 2)  8 Nd 2.89-3.09
Pb  0.1775  0.0000  0.2429 (multiplicity 4)  9 Nd 3.29-3.47

Calculated values
The density is 8.46 g/cm³. The formation energy comes out at -0.2312 eV/atom. The calculation puts the total energy at -5.39 eV/atom. Its spin magnetization is 0.0 μB per cell.

Record 5
Density functional theory data (GGA-PBE) for a geometry-optimized Nd6Os2Pb structure.

Lattice parameters (Å, degrees): 9.8259 10.0579 10.6680 90.00 90.00 90.00
Last column: nearest neighbours and their distance in Å.
Space group Immm (No. 71)
Inequivalent atoms, fractional coordinates:
Nd  0.0000  0.2099  0.2392 (multiplicity 8)  1 Os 2.83
Nd  0.1855  0.5000  0.1707 (multiplicity 8)  3 Os 2.91-3.08
Nd  0.2180  0.3149  0.5000 (multiplicity 8)  3 Os 3.10-3.14, 1 Pb 3.34
Os  0.0000  0.3322  0.0000 (multiplicity 4)  8 Nd 2.83-3.14
Os  0.0000  0.5000  0.3833 (multiplicity 4)  1 Os 2.49
Pb  0.0000  0.0000  0.0000 (multiplicity 2)  8 Nd 3.31-3.34, 2 Os 3.34
Pb  0.0000  0.0000  0.5000 (multiplicity 2)  12 Nd 3.49-3.82

Calculated values
The density is 9.15 g/cm³. The formation energy comes out at -0.2144 eV/atom. The calculation puts the total energy at -6.30 eV/atom. Its spin magnetization is 0.0 μB per cell.

Record 6
Density functional theory data (GGA-PBE) for a geometry-optimized Nd4OsPb structure.

Lattice parameters (Å, degrees): 9.0338 13.9938 6.3297 90.00 111.21 90.00
Last column: nearest neighbours and their distance in Å.
Space group C2/c (No. 15)
Inequivalent atoms, fractional coordinates:
Nd  0.1089  0.1690  0.0599 (multiplicity 8)  2 Os 2.98-2.99
Nd  0.2207  0.4300  0.3617 (multiplicity 8)  2 Os 2.98-3.02, 1 Pb 3.33
Os  0.0000  0.0007  0.7500 (multiplicity 4)  8 Nd 2.98-3.02, 2 Os 3.16
Pb  0.0000  0.3725  0.7500 (multiplicity 4)  6 Nd 3.33-3.40

Calculated values
The density is 8.68 g/cm³. The formation energy comes out at -0.2897 eV/atom. The calculation puts the total energy at -5.96 eV/atom. Its spin magnetization is 0.0 μB per cell.

Record 7
Density functional theory data (GGA-PBE) for a geometry-optimized Nd6OsPb2 structure.

Lattice parameters (Å, degrees): 4.4088 14.6726 8.5300 90.00 90.00 90.00
Last column: nearest neighbours and their distance in Å.
Space group Amm2 (No. 38)
Inequivalent atoms, fractional coordinates:
Nd  0.0000  0.0000  0.0000 (multiplicity 2)  2 Os 2.95
Nd  0.0000  0.1161  0.6380 (multiplicity 4)  2 Os 3.01, 2 Pb 3.32-3.34
Nd  0.5000  0.0000  0.3533 (multiplicity 2)  4 Pb 3.41, 1 Os 3.56, 6 Nd 3.70-3.73
Nd  0.5000  0.1991  0.9548 (multiplicity 4)  1 Os 3.32, 4 Pb 3.39-3.42, 4 Nd 3.68-3.69
Os  0.5000  0.0000  0.7710 (multiplicity 2)  6 Nd 2.95-3.01
Pb  0.0000  0.1682  0.2567 (multiplicity 4)  9 Nd 3.30-3.42

Calculated values
The density is 8.85 g/cm³. The formation energy comes out at -0.3377 eV/atom. The calculation puts the total energy at -5.59 eV/atom. Its spin magnetization is 0.0 μB per cell.

Record 8
Density functional theory data (GGA-PBE) for a geometry-optimized Nd5Os2Pb structure.

Lattice parameters (Å, degrees): 7.9699 7.9699 14.3287 90.00 90.00 90.00
Last column: nearest neighbours and their distance in Å.
Space group I4/mcm (No. 140)
Inequivalent atoms, fractional coordinates:
Nd  0.0000  0.0000  0.0000 (multiplicity 4)  4 Os 3.10
Nd  0.1623  0.3377  0.1300 (multiplicity 16)  3 Os 2.94-3.03
Os  0.1362  0.3638  0.5000 (multiplicity 8)  8 Nd 2.94-3.10, 1 Os 3.07
Pb  0.0000  0.0000  0.2500 (multiplicity 4)  10 Nd 3.45-3.58

Calculated values
The density is 9.55 g/cm³. The formation energy comes out at -0.2395 eV/atom. The calculation puts the total energy at -6.49 eV/atom. Its spin magnetization is 0.0 μB per cell.